Computed, not measured: a relaxed EuAgS2 crystal at the PBE-GGA level of DFT.

Calculated values
formation energy from raw total energies	-3.94	eV/f.u.
magnetic moment	1.499	μB/atom
crystal system	trigonal

abc: 4.2828 4.2828 22.4252
angles: 90.00 90.00 120.00
Closest atoms and distances in Å follow each position.
Space group R-3m (No. 166, hexagonal axes)
Unique sites:
Eu (0.0000, 0.0000, 0.0000) [3 per cell]  6 S 2.84
Ag (0.0000, 0.0000, 0.5000) [3 per cell]  2 S 2.34
S (0.0000, 0.0000, 0.3955) [6 per cell]  1 Ag 2.34